Material: CaRuRhO6
Method: DFT, PBE-GGA
State: relaxed

Lattice parameters (Å, degrees): 5.2624 5.2624 9.8064 90.00 90.00 120.00
Closest atoms and distances in Å follow each position.
Element x y z (fractional)
Ca (0.0000, 0.0000, 0.0000)  6 O 2.42
Ca (0.0000, 0.0000, 0.5000)  6 O 2.42
Ru (0.6667, 0.3333, 0.2500)  6 O 1.94
Ru (0.3333, 0.6667, 0.7500)  6 O 1.94
Rh (0.3333, 0.6667, 0.2500)  6 O 1.99
Rh (0.6667, 0.3333, 0.7500)  6 O 1.99
O (0.6280, 0.6213, 0.1423)  1 Ru 1.94, 1 Rh 1.99
O (0.9934, 0.3720, 0.1423)  1 Ru 1.94, 1 Rh 1.99
O (0.3720, 0.9934, 0.6423)  1 Ru 1.94, 1 Rh 1.99
O (0.0066, 0.6280, 0.8577)  1 Ru 1.94, 1 Rh 1.99
O (0.3787, 0.3720, 0.3577)  1 Ru 1.94, 1 Rh 1.99
O (0.9934, 0.6213, 0.3577)  1 Ru 1.94, 1 Rh 1.99
O (0.6213, 0.9934, 0.8577)  1 Ru 1.94, 1 Rh 1.99
O (0.6280, 0.0066, 0.3577)  1 Ru 1.94, 1 Rh 1.99
O (0.0066, 0.3787, 0.6423)  1 Ru 1.94, 1 Rh 1.99
O (0.3787, 0.0066, 0.1423)  1 Ru 1.94, 1 Rh 1.99
O (0.6213, 0.6280, 0.6423)  1 Ru 1.94, 1 Rh 1.99
O (0.3720, 0.3787, 0.8577)  1 Ru 1.94, 1 Rh 1.99

Summary:
Energy relative to the elements, uncorrected in kJ/mol of atoms: -124.98
Magnetization in μB/atom: 0.1146